(1)
The following is a PBEsol calculation of crystalline YTeAsN2 at its relaxed geometry, from the Alexandria database.

abc: 4.3339 4.3339 6.2343
angles: 90.00 90.00 90.00
With the nearest neighbours (Å) after each atom.
Space group P4/mmm (No. 123)
One atom of each set of equivalent atoms:
Y (0.0000, 0.0000, 0.0000) x1  4 N 2.17
Te (0.0000, 0.0000, 0.5000) x1  4 As 3.06, 2 Y 3.12
As (0.5000, 0.5000, 0.5000) x1  4 Te 3.06
N (0.0000, 0.5000, 0.0000) x2  2 Y 2.17

Values from the calculation:
The raw formation energy comes out at 910 meV/atom. As for the total energy: -5.592 eV/atom.

(2)
The following is a PBEsol calculation of crystalline Ti2AsN at its relaxed geometry, from the Alexandria database.

abc: 5.1752 5.1752 9.7029
angles: 90.00 90.00 90.00
With the nearest neighbours (Å) after each atom.
Space group I-42d (No. 122)
One atom of each set of equivalent atoms:
Ti (0.1644, 0.2500, 0.1250) x8  2 N 1.97
As (0.0000, 0.0000, 0.5000) x4  4 Ti 2.48
N (0.0000, 0.0000, 0.0000) x4  4 Ti 1.97

Values from the calculation:
The raw formation energy comes out at -932 meV/atom. As for the total energy: -8.502 eV/atom.